No. 1
# PBE CdTcBr2, relaxed
data_CdTcBr2
_symmetry_space_group_name_H-M 'P 1'
_symmetry_Int_Tables_number 1
_cell_length_a 7.638
_cell_length_b 7.638
_cell_length_c 7.638
_cell_angle_alpha 155.92
_cell_angle_beta 142.45
_cell_angle_gamma 45.10
loop_
_symmetry_equiv_pos_as_xyz
'x,y,z'
loop_
_atom_site_label
_atom_site_fract_x
_atom_site_fract_y
_atom_site_fract_z
Cd1 0.000 0.000 0.000
Tc1 0.500 0.500 0.000
Br1 0.356 0.856 0.500
Br2 0.644 0.144 0.500
# DFT total energy: -3.60 eV per atom
# Crystal system: orthorhombic
# DOS(E_F): 0.596 states/eV/atom
# SG: No. 71
# Formation energy (no corrections): 61 meV/atom
# Calculated density: 5.56 g/cm3
# Total magnetization: 0.9 μB per cell


No. 2
# PBE Mg2ZnCu5Si2, relaxed
data_Mg2ZnCu5Si2
_symmetry_space_group_name_H-M 'P 1'
_symmetry_Int_Tables_number 1
_cell_length_a 8.924
_cell_length_b 8.924
_cell_length_c 3.621
_cell_angle_alpha 90.00
_cell_angle_beta 90.00
_cell_angle_gamma 90.00
loop_
_symmetry_equiv_pos_as_xyz
'x,y,z'
loop_
_atom_site_label
_atom_site_fract_x
_atom_site_fract_y
_atom_site_fract_z
Mg1 0.176 0.324 0.000
Mg2 0.324 0.824 0.000
Mg3 0.676 0.176 0.000
Mg4 0.824 0.676 0.000
Zn1 0.000 0.000 0.000
Zn2 0.500 0.500 0.000
Cu1 0.000 0.500 0.500
Cu2 0.063 0.795 0.500
Cu3 0.205 0.063 0.500
Cu4 0.295 0.563 0.500
Cu5 0.437 0.295 0.500
Cu6 0.500 0.000 0.500
Cu7 0.563 0.705 0.500
Cu8 0.705 0.437 0.500
Cu9 0.795 0.937 0.500
Cu10 0.937 0.205 0.500
Si1 0.121 0.621 0.000
Si2 0.379 0.121 0.000
Si3 0.621 0.879 0.000
Si4 0.879 0.379 0.000
# DFT total energy: -3.61 eV per atom
# Crystal system: tetragonal
# DOS(E_F): 0.318 states/eV/atom
# SG: No. 127
# Formation energy (no corrections): -35 meV/atom
# Calculated density: 5.62 g/cm3
# Total magnetization: 0.0 μB per cell


No. 3
# PBE CsMgGaI4, relaxed
data_CsMgGaI4
_symmetry_space_group_name_H-M 'P 1'
_symmetry_Int_Tables_number 1
_cell_length_a 8.034
_cell_length_b 8.366
_cell_length_c 10.418
_cell_angle_alpha 90.00
_cell_angle_beta 107.87
_cell_angle_gamma 90.00
loop_
_symmetry_equiv_pos_as_xyz
'x,y,z'
loop_
_atom_site_label
_atom_site_fract_x
_atom_site_fract_y
_atom_site_fract_z
Cs1 0.242 0.250 0.049
Cs2 0.758 0.750 0.951
Mg1 0.235 0.750 0.328
Mg2 0.765 0.250 0.672
Ga1 0.212 0.250 0.520
Ga2 0.788 0.750 0.480
I1 0.008 0.006 0.284
I2 0.008 0.494 0.284
I3 0.396 0.750 0.133
I4 0.459 0.750 0.585
I5 0.541 0.250 0.415
I6 0.604 0.250 0.867
I7 0.992 0.506 0.716
I8 0.992 0.994 0.716
# DFT total energy: -2.65 eV per atom
# Crystal system: monoclinic
# DOS(E_F): 0.000 states/eV/atom
# SG: No. 11
# Formation energy (no corrections): -979 meV/atom
# Calculated density: 3.66 g/cm3
# Total magnetization: 0.0 μB per cell


No. 4
# PBE NaLaCuH, relaxed
data_NaLaCuH
_symmetry_space_group_name_H-M 'P 1'
_symmetry_Int_Tables_number 1
_cell_length_a 5.063
_cell_length_b 5.063
_cell_length_c 3.898
_cell_angle_alpha 92.37
_cell_angle_beta 92.37
_cell_angle_gamma 55.02
loop_
_symmetry_equiv_pos_as_xyz
'x,y,z'
loop_
_atom_site_label
_atom_site_fract_x
_atom_site_fract_y
_atom_site_fract_z
Na1 0.000 0.000 0.000
La1 0.667 0.667 0.517
Cu1 0.331 0.331 0.089
H1 0.525 0.525 0.010
# DFT total energy: -3.40 eV per atom
# Crystal system: monoclinic
# DOS(E_F): 0.310 states/eV/atom
# SG: No. 8
# Calculated density: 4.60 g/cm3
# Total magnetization: 0.0 μB per cell


Q: Which value of DOS(E_F) does entry 2 give?
A: 0.318 states/eV/atom